1.
LaMg3Pt: optimized geometry, GGA-PBE.

Calculated values
- ΔE to the lowest computed polymorph: 135 meV/atom
- Formation energy: -0.40 eV per atom

The structure in CIF format:
```
data_LaMg3Pt
_chemical_formula_sum 'La1 Mg3 Pt1'
_cell_length_a 5.033
_cell_length_b 5.033
_cell_length_c 5.033
_cell_angle_alpha 90.00
_cell_angle_beta 90.00
_cell_angle_gamma 90.00
_space_group_name_H-M_alt 'P 1'
_space_group_IT_number 1
loop_
_space_group_symop_operation_xyz
'x,y,z'
loop_
_atom_site_label
_atom_site_fract_x
_atom_site_fract_y
_atom_site_fract_z
Mg1 0.000 0.500 0.000
Mg2 0.000 0.000 0.500
Mg3 0.500 0.000 0.000
Pt1 0.000 0.000 0.000
La1 0.500 0.500 0.500
```


2.
Zn: optimized geometry, GGA-PBE.

Calculated values
- ΔE to the lowest computed polymorph: 140 meV/atom
- Formation energy: 0.14 eV per atom

The structure in CIF format:
```
data_Zn
_chemical_formula_sum 'Zn16'
_cell_length_a 8.893
_cell_length_b 8.893
_cell_length_c 4.391
_cell_angle_alpha 90.00
_cell_angle_beta 90.00
_cell_angle_gamma 90.00
_space_group_name_H-M_alt 'P 1'
_space_group_IT_number 1
loop_
_space_group_symop_operation_xyz
'x,y,z'
loop_
_atom_site_label
_atom_site_fract_x
_atom_site_fract_y
_atom_site_fract_z
Zn1 0.401 0.897 0.000
Zn2 0.599 0.103 0.000
Zn3 0.103 0.401 0.000
Zn4 0.897 0.599 0.000
Zn5 0.901 0.397 0.500
Zn6 0.099 0.603 0.500
Zn7 0.603 0.901 0.500
Zn8 0.397 0.099 0.500
Zn9 0.303 0.198 0.000
Zn10 0.697 0.802 0.000
Zn11 0.802 0.303 0.000
Zn12 0.198 0.697 0.000
Zn13 0.803 0.698 0.500
Zn14 0.197 0.302 0.500
Zn15 0.302 0.803 0.500
Zn16 0.698 0.197 0.500
```